1.
PBE Ac5AlZn4, relaxed; energy of formation = -0.239 eV/atom; DOS(E_F) = 1.10 states/eV/atom
1.0
3.9151 0.0000 0.0000
0.0000 3.9151 0.0000
0.0000 0.0000 19.6438
Ac Al Zn
5 1 4
direct
0.0000 0.0000 0.0000 Ac
0.0000 0.0000 0.1991 Ac
0.0000 0.0000 0.3997 Ac
0.0000 0.0000 0.6003 Ac
0.0000 0.0000 0.8009 Ac
0.5000 0.5000 0.5000 Al
0.5000 0.5000 0.0996 Zn
0.5000 0.5000 0.2985 Zn
0.5000 0.5000 0.7015 Zn
0.5000 0.5000 0.9004 Zn

=====

2.
PBE Tm6HgRh, relaxed; energy of formation = -0.164 eV/atom; DOS(E_F) = 1.29 states/eV/atom
1.0
3.4345 -5.6072 0.0000
3.4345 5.6072 0.0000
-2.5807 0.0000 6.0989
Tm Hg Rh
6 1 1
direct
0.0300 0.4127 0.2414 Tm
0.2336 0.2336 0.7676 Tm
0.4127 0.0300 0.2414 Tm
0.5873 0.9700 0.7586 Tm
0.7664 0.7664 0.2324 Tm
0.9700 0.5873 0.7586 Tm
0.5000 0.5000 0.5000 Hg
0.0000 0.0000 0.0000 Rh

=====

3.
PBE Na2SrCoH8, relaxed; DOS(E_F) = 0.82 states/eV/atom; VASP energy = -3.34 eV/atom
1.0
4.8104 0.0000 0.0000
-2.4052 4.1659 0.0000
0.0000 0.0000 6.4896
Na Sr Co H
2 1 1 8
direct
0.3333 0.6667 0.3670 Na
0.6667 0.3333 0.6330 Na
0.0000 0.0000 0.0000 Sr
0.0000 0.0000 0.5000 Co
0.1478 0.2956 0.6428 H
0.1478 0.8522 0.6428 H
0.2956 0.1478 0.3572 H
0.3333 0.6667 0.0121 H
0.6667 0.3333 0.9879 H
0.7044 0.8522 0.6428 H
0.8522 0.1478 0.3572 H
0.8522 0.7044 0.3572 H

=====

4.
PBE Pm3Er2Mg2, relaxed; energy of formation = 0.037 eV/atom; DOS(E_F) = 1.17 states/eV/atom
1.0
2.6535 -11.6558 0.0000
2.6535 11.6558 0.0000
0.0000 0.0000 3.4801
Pm Er Mg
3 2 2
direct
0.0000 0.0000 0.0000 Pm
0.1506 0.8494 0.0000 Pm
0.8494 0.1506 0.0000 Pm
0.2878 0.7122 0.5000 Er
0.7122 0.2878 0.5000 Er
0.4303 0.5697 0.5000 Mg
0.5697 0.4303 0.5000 Mg

=====

5.
PBE Y8TlSi3Te4, relaxed; DOS(E_F) = 0.40 states/eV/atom; formation energy (no corrections) = -1028.1 meV/atom
1.0
4.2474 2.4522 7.1823
-4.2474 2.4522 7.1823
0.0000 -4.9045 7.1823
Y Tl Si Te
8 1 3 4
direct
0.2303 0.7490 0.7490 Y
0.2385 0.2385 0.2385 Y
0.2510 0.2510 0.7697 Y
0.2510 0.7697 0.2510 Y
0.7490 0.2303 0.7490 Y
0.7490 0.7490 0.2303 Y
0.7615 0.7615 0.7615 Y
0.7697 0.2510 0.2510 Y
0.5000 0.5000 0.5000 Tl
0.0000 0.0000 0.5000 Si
0.0000 0.5000 0.0000 Si
0.5000 0.0000 0.0000 Si
0.0000 0.0000 0.0000 Te
0.0000 0.5000 0.5000 Te
0.5000 0.0000 0.5000 Te
0.5000 0.5000 0.0000 Te

=====

6.
PBE CePuZnHg, relaxed; energy of formation = -0.131 eV/atom; DOS(E_F) = 3.21 states/eV/atom
1.0
0.0000 3.7100 3.7100
3.7100 0.0000 3.7100
3.7100 3.7100 0.0000
Ce Pu Zn Hg
1 1 1 1
direct
0.0000 0.0000 0.0000 Ce
0.5000 0.5000 0.5000 Pu
0.2500 0.2500 0.2500 Zn
0.7500 0.7500 0.7500 Hg

=====

7.
PBE TbHo5In4, relaxed; energy of formation = -0.369 eV/atom; DOS(E_F) = 0.74 states/eV/atom
1.0
3.5560 0.0000 0.0000
0.0000 3.5560 0.0000
0.0000 0.0000 21.6626
Tb Ho In
1 5 4
direct
0.0000 0.0000 0.0000 Tb
0.5000 0.5000 0.1149 Ho
0.5000 0.5000 0.3070 Ho
0.5000 0.5000 0.5000 Ho
0.5000 0.5000 0.6930 Ho
0.5000 0.5000 0.8851 Ho
0.0000 0.0000 0.2110 In
0.0000 0.0000 0.4036 In
0.0000 0.0000 0.5964 In
0.0000 0.0000 0.7890 In

=====

8.
PBE Pr2TcN4, relaxed; DOS(E_F) = 0.49 states/eV/atom; formation energy (no corrections) = -740.8 meV/atom
1.0
-1.9462 1.9462 6.4117
1.9462 -1.9462 6.4117
1.9462 1.9462 -6.4117
Pr Tc N
2 1 4
direct
0.1466 0.1466 0.0000 Pr
0.8534 0.8534 0.0000 Pr
0.5000 0.5000 0.0000 Tc
0.0000 0.5000 0.5000 N
0.3332 0.3332 0.0000 N
0.5000 0.0000 0.5000 N
0.6668 0.6668 0.0000 N

=====

9.
PBE Ce2PmTm3Bi6, relaxed; energy of formation = -0.812 eV/atom; DOS(E_F) = 1.12 states/eV/atom
1.0
9.8246 -2.2619 0.0000
9.8246 2.2619 0.0000
-2.0311 0.0000 8.7847
Ce Pm Tm Bi
2 1 3 6
direct
0.1662 0.1662 0.3321 Ce
0.8338 0.8338 0.6679 Ce
0.5000 0.5000 0.0000 Pm
0.1661 0.1661 0.8334 Tm
0.5000 0.5000 0.5000 Tm
0.8339 0.8339 0.1666 Tm
0.0021 0.0021 0.7442 Bi
0.3310 0.3310 0.9225 Bi
0.3355 0.3355 0.4114 Bi
0.6645 0.6645 0.5886 Bi
0.6690 0.6690 0.0775 Bi
0.9979 0.9979 0.2558 Bi

=====

10.
PBE Dy4Bi2Ru, relaxed; energy of formation = -0.582 eV/atom; DOS(E_F) = 0.60 states/eV/atom
1.0
7.9760 0.0000 0.0000
0.0000 12.2006 0.0000
0.0000 0.0000 4.3676
Dy Bi Ru
8 4 2
direct
0.1282 0.1949 0.0000 Dy
0.2098 0.9423 0.5000 Dy
0.2902 0.4423 0.5000 Dy
0.3718 0.6949 0.0000 Dy
0.6282 0.3051 0.0000 Dy
0.7098 0.5577 0.5000 Dy
0.7902 0.0577 0.5000 Dy
0.8718 0.8051 0.0000 Dy
0.0806 0.6721 0.5000 Bi
0.4194 0.1721 0.5000 Bi
0.5806 0.8279 0.5000 Bi
0.9194 0.3279 0.5000 Bi
0.0000 0.0000 0.0000 Ru
0.5000 0.5000 0.0000 Ru

=====

11.
PBE LaMnTc2Sn, relaxed; energy of formation = 0.500 eV/atom; DOS(E_F) = 0.98 states/eV/atom
1.0
4.6422 0.0000 0.0000
0.0000 4.6422 0.0000
0.0000 0.0000 4.8013
La Mn Tc Sn
1 1 2 1
direct
0.0000 0.0000 0.0000 La
0.5000 0.5000 0.5000 Mn
0.0000 0.5000 0.5000 Tc
0.5000 0.0000 0.5000 Tc
0.5000 0.5000 0.0000 Sn

=====

12.
PBE SmI2Br, relaxed; DOS(E_F) = 0.00 states/eV/atom; formation energy (no corrections) = -1527.6 meV/atom
1.0
-1.9980 6.2898 3.8852
1.9980 -6.2898 3.8852
1.9980 6.2898 -3.8852
Sm I Br
1 2 1
direct
0.0000 0.0000 0.0000 Sm
0.0057 0.3429 0.6628 I
0.6800 0.3429 0.3372 I
0.2696 0.7696 0.5000 Br

=====

13.
PBE Zr4Sb2H, relaxed; DOS(E_F) = 0.49 states/eV/atom; VASP energy = -7.18 eV/atom
1.0
-2.1144 2.1144 7.7606
2.1144 -2.1144 7.7606
2.1144 2.1144 -7.7606
Zr Sb H
4 2 1
direct
0.0000 0.5000 0.5000 Zr
0.1710 0.1710 0.0000 Zr
0.5000 0.0000 0.5000 Zr
0.8290 0.8290 0.0000 Zr
0.3595 0.3595 0.0000 Sb
0.6405 0.6405 0.0000 Sb
0.0000 0.0000 0.0000 H

=====

14.
PBE La2Pm3Dy2, relaxed; energy of formation = 0.136 eV/atom; DOS(E_F) = 1.75 states/eV/atom
1.0
5.8192 0.0000 0.0000
0.0000 3.5121 0.0000
-2.9014 0.0000 11.8640
La Pm Dy
2 3 2
direct
0.1432 0.0000 0.2871 La
0.8568 0.0000 0.7129 La
0.0000 0.5000 0.0000 Pm
0.2860 0.5000 0.5720 Pm
0.7140 0.5000 0.4280 Pm
0.4289 0.5000 0.8558 Dy
0.5711 0.5000 0.1442 Dy

=====

15.
PBE K2MnW, relaxed; energy of formation = 1.455 eV/atom; DOS(E_F) = 1.15 states/eV/atom
1.0
1.4680 0.8475 12.3576
-1.4680 0.8475 12.3576
0.0000 -1.6951 12.3576
K Mn W
2 1 1
direct
0.2493 0.2493 0.2493 K
0.7507 0.7507 0.7507 K
0.0000 0.0000 0.0000 Mn
0.5000 0.5000 0.5000 W

=====

16.
PBE AlZn3Cu4, relaxed; energy of formation = -0.125 eV/atom; DOS(E_F) = 0.27 states/eV/atom
1.0
6.2996 -2.0977 0.0000
6.2996 2.0977 0.0000
-1.3840 0.0000 3.9600
Al Zn Cu
1 3 4
direct
0.0000 0.0000 0.0000 Al
0.2502 0.2502 0.2502 Zn
0.5000 0.5000 0.5000 Zn
0.7498 0.7498 0.7498 Zn
0.1245 0.1245 0.6250 Cu
0.3755 0.3755 0.8754 Cu
0.6245 0.6245 0.1246 Cu
0.8755 0.8755 0.3750 Cu

=====

17.
PBE TiNbCrOs, relaxed; energy of formation = -0.304 eV/atom; DOS(E_F) = 0.63 states/eV/atom
1.0
0.0000 3.1075 3.1075
3.1075 0.0000 3.1075
3.1075 3.1075 0.0000
Ti Nb Cr Os
1 1 1 1
direct
0.0000 0.0000 0.0000 Ti
0.5000 0.5000 0.5000 Nb
0.7500 0.7500 0.7500 Cr
0.2500 0.2500 0.2500 Os

=====

18.
PBE Sc5BiTe4, relaxed; DOS(E_F) = 0.61 states/eV/atom; formation energy (no corrections) = -1020.3 meV/atom
1.0
-2.0944 2.9548 10.4691
2.0944 -2.9548 10.4691
2.0944 2.9548 -10.4691
Sc Bi Te
5 1 4
direct
0.0000 0.0000 0.0000 Sc
0.1996 0.1996 0.0000 Sc
0.3987 0.3987 0.0000 Sc
0.6013 0.6013 0.0000 Sc
0.8004 0.8004 0.0000 Sc
0.5000 0.0000 0.5000 Bi
0.1001 0.6001 0.5000 Te
0.2991 0.7991 0.5000 Te
0.7009 0.2009 0.5000 Te
0.8999 0.3999 0.5000 Te

=====

19.
PBE NaPdBr3, relaxed; formation energy (no corrections) = -781.0 meV/atom
1.0
5.7563 0.0000 0.0000
-1.1534 7.2329 0.0000
-2.4798 -0.9597 7.9548
Na Pd Br
2 2 6
direct
0.1721 0.2395 0.4436 Na
0.8279 0.7605 0.5564 Na
0.0359 0.6583 0.1837 Pd
0.9641 0.3417 0.8163 Pd
0.1783 0.0920 0.7635 Br
0.2323 0.3996 0.1128 Br
0.2823 0.6851 0.4817 Br
0.7177 0.3149 0.5183 Br
0.7677 0.6004 0.8872 Br
0.8217 0.9080 0.2365 Br

=====

20.
PBE CeNdTe, relaxed; DOS(E_F) = 1.49 states/eV/atom; formation energy (no corrections) = -941.3 meV/atom
1.0
4.4026 0.0000 0.0000
0.0000 4.3498 0.0000
-0.2135 0.0000 9.1011
Ce Nd Te
2 2 2
direct
0.2103 0.2500 0.0045 Ce
0.7897 0.7500 0.9955 Ce
0.2467 0.7500 0.3635 Nd
0.7533 0.2500 0.6365 Nd
0.2592 0.7500 0.7232 Te
0.7408 0.2500 0.2768 Te